No. 1
Density functional theory data (PBE-GGA) for an optimized crystal structure of OsRu2Cl.

Cell lengths 2.7750, 3.5500, 6.5176 Å; angles 90.00, 90.00, 90.00 degrees
Last column: nearest neighbours and their distance in Å.
Fractional coordinates of all 4 atoms:
1 Cl 0.0000 0.0000 0.4845  2 Cl 2.77, 4 Ru 2.87, 4 Os 3.06
2 Ru 0.0000 0.0000 0.0006  4 Os 2.60, 6 Ru 2.64-2.77
3 Ru 0.5000 0.5000 0.2119  6 Ru 2.64-2.77, 1 Os 2.67, 4 Cl 2.87
4 Os 0.5000 0.5000 0.8030  5 Ru 2.60-2.67, 2 Os 2.77

Summary:
space-group type	Pmm2
Fermi-level density of states	5.41	states/eV/f.u.
energy above the most stable polymorph in this dataset	391	meV/atom
formation energy without anion corrections	0.793	eV/atom

***

No. 2
Density functional theory data (PBE-GGA) for an optimized crystal structure of Pu2BeGa3Au4.

Cell lengths 4.3403, 4.3403, 10.5321 Å; angles 90.00, 90.00, 90.00 degrees
Last column: nearest neighbours and their distance in Å.
Fractional coordinates of all 10 atoms:
1 Pu 0.0000 0.5000 0.7407  6 Ga 3.31-3.34, 8 Au 3.32-3.49, 2 Be 3.34
2 Pu 0.5000 0.0000 0.2593  6 Ga 3.31-3.34, 8 Au 3.32-3.49, 2 Be 3.34
3 Ga 0.0000 0.0000 0.5000  4 Au 2.51
4 Ga 0.5000 0.0000 0.8592  5 Au 2.51-2.63
5 Ga 0.0000 0.5000 0.1408  5 Au 2.51-2.63
6 Au 0.5000 0.5000 0.0000  4 Ga 2.63
7 Au 0.0000 0.5000 0.3795  3 Ga 2.51, 2 Be 2.51
8 Au 0.5000 0.0000 0.6205  3 Ga 2.51, 2 Be 2.51
9 Au 0.0000 0.0000 0.0000  4 Ga 2.63
10 Be 0.5000 0.5000 0.5000  4 Au 2.51

Summary:
raw total energy	-5.800	eV per atom
space-group type	P-4m2
Fermi-level density of states	28.77	states/eV/f.u.

***

No. 3
Density functional theory data (PBE-GGA) for an optimized crystal structure of TlZn2Mo.

Cell lengths 5.3244, 5.3244, 5.3244 Å; angles 137.29, 137.27, 62.01 degrees
Last column: nearest neighbours and their distance in Å.
Fractional coordinates of all 4 atoms:
1 Tl 0.2499 0.7499 0.5000  8 Zn 2.74-2.99, 4 Mo 2.99-3.00
2 Zn 0.0000 0.0000 0.0000  4 Mo 2.74, 4 Zn 2.99-3.00, 4 Tl 2.99
3 Zn 0.7501 0.2501 0.5000  4 Tl 2.74, 4 Zn 2.99-3.00, 4 Mo 2.99-3.00
4 Mo 0.5000 0.5000 0.0000  8 Zn 2.74-3.00, 4 Tl 2.99-3.00

Summary:
space-group type	I-4m2
Fermi-level density of states	3.02	states/eV/f.u.
energy above the most stable polymorph in this dataset	70	meV/atom

***

No. 4
Density functional theory data (PBE-GGA) for an optimized crystal structure of GeBTePd2.

Cell lengths 4.9600, 3.7669, 4.9600 Å; angles 90.00, 90.00, 90.00 degrees
Last column: nearest neighbours and their distance in Å.
Fractional coordinates of all 5 atoms:
1 B 0.0000 0.5000 0.0000  2 Ge 1.88
2 Pd 0.0000 0.0000 0.5000  2 Ge 2.48
3 Pd 0.5000 0.0000 0.0000  2 Ge 2.48
4 Ge 0.0000 0.0000 0.0000  2 B 1.88
5 Te 0.5000 0.5000 0.5000  8 Pd 3.11

Summary:
space-group type	P4/mmm
Fermi-level density of states	3.14	states/eV/f.u.
formation energy without anion corrections	0.561	eV/atom

***

- Which formula does entry 4 have?
  GeBTePd2

***

- Among the records above, which one has the lowest Fermi-level density of states?
  TlZn2Mo

***

- What is the formula in the third record?
  TlZn2Mo

***

- Which value of Fermi-level density of states does entry 2 give?
  28.77 states/eV/f.u.